i.
Eu2PtO | PBE-GGA | optimized geometry

Structure (POSCAR):
```
Eu2PtO
1.0
-3.2034 2.0343 0.2513
-2.5880 -0.1769 -2.7810
-4.9675 -4.5532 2.3121
Eu Pt O
2 1 1
Direct
0.2364 0.2364 0.2907
0.7636 0.7636 0.7093
0.0000 0.0000 0.0000
0.5000 0.5000 0.5000
```

Output
Size of the total moment: 13.9 μB per cell
SG: R-3m, No. 166

ii.
Eu2PtO | PBE-GGA | optimized geometry

Structure (POSCAR):
```
Eu2PtO
1.0
3.2867 0.0000 0.0000
0.0000 3.2867 0.0000
0.0000 0.0000 7.0444
Eu Pt O
2 1 1
Direct
0.0000 0.0000 0.7843
0.0000 0.0000 0.2157
0.5000 0.5000 0.5000
0.5000 0.5000 0.0000
```

Output
Size of the total moment: 13.9 μB per cell
SG: P4/mmm, No. 123

i is preferred energetically. Next in line: 191 meV per atom higher.

i.
Eu2SbO | PBE-GGA | optimized geometry

Structure (POSCAR):
```
Eu2SbO
1.0
3.7889 0.0000 0.0000
1.8944 3.2813 0.0000
1.8944 1.0938 7.5859
Eu Sb O
2 1 1
Direct
0.7727 0.7727 0.6818
0.2273 0.2273 0.3182
0.0000 0.0000 0.0000
0.5000 0.5000 0.5000
```

Output
Size of the total moment: 14.1 μB per cell
SG: R-3m, No. 166

ii.
Eu2SbO | PBE-GGA | optimized geometry

Structure (POSCAR):
```
Eu2SbO
1.0
-2.1128 -2.0058 -1.6116
2.1715 -0.2712 -2.5091
3.2461 -6.2164 3.4813
Sb Eu O
1 2 1
Direct
0.5000 0.5000 0.5000
0.0000 0.0000 0.8063
0.0000 0.0000 0.1937
0.5000 0.5000 0.0000
```

Output
Size of the total moment: 14.2 μB per cell
SG: P4/mmm, No. 123

i is preferred energetically. Next in line: 276 meV per atom higher.

i.
EuSeO4 | PBE-GGA | optimized geometry

Structure (POSCAR):
```
EuSeO4
1.0
5.3282 0.0178 0.0000
-2.1196 4.8885 0.0000
0.0000 0.0000 8.1194
O Eu Se
8 2 2
Direct
0.7337 0.2663 0.0758
0.2326 0.2822 0.7500
0.2822 0.2326 0.2500
0.7674 0.7178 0.2500
0.7178 0.7674 0.7500
0.2663 0.7337 0.5758
0.7337 0.2663 0.4242
0.2663 0.7337 0.9242
0.0000 0.0000 0.0000
0.0000 0.0000 0.5000
0.3673 0.6327 0.7500
0.6327 0.3673 0.2500
```

Output
Size of the total moment: 14.0 μB per cell
SG: Cmcm, No. 63

ii.
EuSeO4 | PBE-GGA | optimized geometry

Structure (POSCAR):
```
EuSeO4
1.0
7.3977 0.0000 0.0000
0.0000 6.9312 -0.0389
0.0000 5.1943 6.9313
Eu Se O
4 4 16
Direct
0.6530 0.8138 0.2814
0.1530 0.1862 0.2186
0.3470 0.1862 0.7186
0.8470 0.8138 0.7814
0.6617 0.3091 0.3038
0.8383 0.3091 0.8038
0.1617 0.6909 0.1962
0.3383 0.6909 0.6962
0.6601 0.1147 0.8890
0.4998 0.8205 0.7458
0.3966 0.6584 0.5235
0.7901 0.5961 0.6179
0.8966 0.3416 0.9765
0.2901 0.4039 0.8821
0.1601 0.8853 0.6110
0.2099 0.4039 0.3821
0.3399 0.8853 0.1110
0.8399 0.1147 0.3890
0.6034 0.3416 0.4765
0.5002 0.1795 0.2542
0.9998 0.1795 0.7542
0.0002 0.8205 0.2458
0.1034 0.6584 0.0235
0.7099 0.5961 0.1179
```

Output
Size of the total moment: 27.7 μB per cell
SG: P2_1/c, No. 14

ii is preferred energetically. Next in line: 29 meV per atom higher.